# ErBIr

A geometry-optimized ErBIr structure (PBE, Alexandria via LeMat-Bulk).

Computed properties:
calculated formation energy = -16.74 kcal/mol of atoms
calculated total energy = -89.117 eV/cell
offset from the most stable computed form = 0 meV per atom
volume = 16.4 Å³ per atom

Cell lengths 3.6466, 6.3425, 8.4853 Å; angles 90.00, 90.00, 90.00 degrees
Space group Cmcm (No. 63)
Inequivalent atoms, fractional coordinates:
Er 0.0000 0.0000 0.0000 [4 per cell]
B 0.0000 0.3340 0.2500 [4 per cell]
Ir 0.0000 0.3330 0.7500 [4 per cell]